Record 1
Al2Re | GGA-PBE | optimized geometry

The space group is P6_3/mmc (No. 194) and the conventional cell measures 4.9797, 4.9797 and 7.9653 Å, with angles of 90.00, 90.00 and 120.00 degrees. The distinct sites, in fractional coordinates, are Al at (0.0000, 0.0000, 0.0000), Al at (0.1718, 0.3435, 0.2500) and Re at (0.3333, 0.6667, 0.5539).

The calculated density is 9326 kg/m³. The value obtained for the calculated total energy is -6.432 eV per atom.



Record 2
Al4Re11 | GGA-PBE | optimized geometry

The space group is P4_2/mnm (No. 136) and the conventional cell measures 9.475, 9.475 and 5.009 Å, with angles of 90.00, 90.00 and 90.00 degrees. The distinct sites, in fractional coordinates, are Al at (0.039, 0.369, 0.000), Re at (0.000, 0.000, 0.500), Re at (0.067, 0.261, 0.500), Re at (0.105, 0.105, 0.000) and Re at (0.178, 0.822, 0.246).

As for the energy above the most stable polymorph in this dataset: 0.000 eV/atom. The calculated density is 15922 kg/m³.



Record 3
Al24Re5 | GGA-PBE | optimized geometry

The space group is I-43m (No. 217) and the conventional cell measures 9.556, 9.556 and 9.556 Å, with angles of 90.00, 90.00 and 90.00 degrees. The distinct sites, in fractional coordinates, are Al at (0.045, 0.364, 0.636), Al at (0.091, 0.091, 0.722), Re at (0.000, 0.000, 0.000) and Re at (0.199, 0.199, 0.199).

The calculated density is 6009 kg/m³. The value obtained for the calculated total energy is -5.201 eV per atom.